1.
This record from OQMD via LeMat-Bulk describes a geometry-optimized Er2CuNi structure. The functional is PBE.

size of the total moment: 0.0 μB/f.u.
calculated total energy: -4.998 eV/atom

a = 5.3121 Å, b = 4.3276 Å, c = 6.9370 Å
α = 90.00°, β = 90.35°, γ = 90.00°
Last column: nearest neighbours and their distance in Å.
Fractional coordinates of all 8 atoms:
Er 0.3668 0.2500 0.6935  3 Ni 2.76-2.86, 4 Cu 2.85-2.95
Cu 0.1283 0.7500 0.4674  2 Cu 2.60, 2 Er 2.85-2.89
Er 0.6332 0.7500 0.3065  3 Ni 2.76-2.86, 4 Cu 2.85-2.95
Er 0.8617 0.7500 0.8288  4 Ni 2.79-2.87, 3 Cu 2.89-2.98
Cu 0.8717 0.2500 0.5326  2 Cu 2.60, 2 Er 2.85-2.89
Er 0.1383 0.2500 0.1712  4 Ni 2.79-2.87, 3 Cu 2.89-2.98
Ni 0.3670 0.7500 0.9636  2 Ni 2.63, 7 Er 2.76-2.87
Ni 0.6330 0.2500 0.0364  2 Ni 2.63, 7 Er 2.76-2.87

2.
This record from OQMD via LeMat-Bulk describes a geometry-optimized Er2CuNi structure. The functional is PBE.

size of the total moment: 0.0 μB/f.u.
calculated total energy: -4.998 eV/atom

a = 4.3382 Å, b = 5.3363 Å, c = 6.9499 Å
α = 90.00°, β = 90.00°, γ = 90.00°
Last column: nearest neighbours and their distance in Å.
Fractional coordinates of all 8 atoms:
Er 0.0000 0.8913 0.8174  3 Cu 2.80-2.92, 4 Ni 2.91-2.93
Ni 0.5000 0.8792 0.5335  2 Cu 2.61, 5 Er 2.81-2.91
Er 0.5000 0.3807 0.6824  3 Ni 2.81-2.87, 4 Cu 2.93
Er 0.0000 0.1087 0.3174  3 Cu 2.80-2.92, 4 Ni 2.91-2.93
Ni 0.5000 0.1208 0.0335  2 Cu 2.61, 5 Er 2.81-2.91
Cu 0.0000 0.3792 0.9667  2 Ni 2.61, 3 Er 2.80-2.92
Er 0.5000 0.6193 0.1824  3 Ni 2.81-2.87, 4 Cu 2.93
Cu 0.0000 0.6208 0.4667  2 Ni 2.61, 3 Er 2.80-2.92

Repeat the first record exactly.
This record from OQMD via LeMat-Bulk describes a geometry-optimized Er2CuNi structure. The functional is PBE.

size of the total moment: 0.0 μB/f.u.
calculated total energy: -4.998 eV/atom

a = 5.3121 Å, b = 4.3276 Å, c = 6.9370 Å
α = 90.00°, β = 90.35°, γ = 90.00°
Last column: nearest neighbours and their distance in Å.
Fractional coordinates of all 8 atoms:
Er 0.3668 0.2500 0.6935  3 Ni 2.76-2.86, 4 Cu 2.85-2.95
Cu 0.1283 0.7500 0.4674  2 Cu 2.60, 2 Er 2.85-2.89
Er 0.6332 0.7500 0.3065  3 Ni 2.76-2.86, 4 Cu 2.85-2.95
Er 0.8617 0.7500 0.8288  4 Ni 2.79-2.87, 3 Cu 2.89-2.98
Cu 0.8717 0.2500 0.5326  2 Cu 2.60, 2 Er 2.85-2.89
Er 0.1383 0.2500 0.1712  4 Ni 2.79-2.87, 3 Cu 2.89-2.98
Ni 0.3670 0.7500 0.9636  2 Ni 2.63, 7 Er 2.76-2.87
Ni 0.6330 0.2500 0.0364  2 Ni 2.63, 7 Er 2.76-2.87

Repeat the first record exactly.
This record from OQMD via LeMat-Bulk describes a geometry-optimized Er2CuNi structure. The functional is PBE.

size of the total moment: 0.0 μB/f.u.
calculated total energy: -4.998 eV/atom

a = 5.3121 Å, b = 4.3276 Å, c = 6.9370 Å
α = 90.00°, β = 90.35°, γ = 90.00°
Last column: nearest neighbours and their distance in Å.
Fractional coordinates of all 8 atoms:
Er 0.3668 0.2500 0.6935  3 Ni 2.76-2.86, 4 Cu 2.85-2.95
Cu 0.1283 0.7500 0.4674  2 Cu 2.60, 2 Er 2.85-2.89
Er 0.6332 0.7500 0.3065  3 Ni 2.76-2.86, 4 Cu 2.85-2.95
Er 0.8617 0.7500 0.8288  4 Ni 2.79-2.87, 3 Cu 2.89-2.98
Cu 0.8717 0.2500 0.5326  2 Cu 2.60, 2 Er 2.85-2.89
Er 0.1383 0.2500 0.1712  4 Ni 2.79-2.87, 3 Cu 2.89-2.98
Ni 0.3670 0.7500 0.9636  2 Ni 2.63, 7 Er 2.76-2.87
Ni 0.6330 0.2500 0.0364  2 Ni 2.63, 7 Er 2.76-2.87